# TcSb2Pb

TcSb2Pb after structural relaxation (PBE-GGA, the Alexandria database).

```
data_TcSb2Pb
_chemical_formula_sum 'Tc1 Sb2 Pb1'
_cell_length_a 3.7342
_cell_length_b 4.9699
_cell_length_c 5.1865
_cell_angle_alpha 90.00
_cell_angle_beta 90.00
_cell_angle_gamma 90.00
_space_group_name_H-M_alt 'P m m m'
_space_group_IT_number 47
loop_
_space_group_symop_operation_xyz
'x,y,z'
'-x,-y,-z'
'-x,-y,z'
'x,y,-z'
'x,-y,-z'
'-x,y,z'
'-x,y,-z'
'x,-y,z'
loop_
_atom_site_label
_atom_site_fract_x
_atom_site_fract_y
_atom_site_fract_z
Tc1 0.0000 0.0000 0.0000
Sb1 0.0000 0.5000 0.5000
Sb2 0.5000 0.5000 0.0000
Pb1 0.5000 0.0000 0.5000
```

Output
* E_form (uncorrected): 0.690 eV/atom
* density of states at the Fermi level: 3.88 states/eV per cell
* electronic total energy: -4.89 eV/atom
* volume: 96.3 Å³/f.u.